{"formula": "LaPmPAu", "functional": "PBE", "state": "optimized geometry", "energy_ev_per_atom": -5.4669, "delta_e_f_ev_per_atom": -0.88, "magnetic_moment_mub_per_cell": 0.02, "n_ef_per_ev_fu": 4.548, "sg": "F-43m", "lattice": [[-2.293, -4.593, 0.707], [0.387, -3.676, -3.632], [2.872, -4.222, 0.882]], "species": ["La", "Pm", "P", "Au"], "fractional_positions": [[0.750, 0.750, 0.750], [0.250, 0.250, 0.250], [0.000, 0.000, 0.000], [0.500, 0.500, 0.500]]}